Entry 1:
Nb2HCl: relaxed, PBE.

Calculated values
Total moment (μB per atom): 0.00
VASP energy (eV/f.u.): -22.411
Mass density (g/cm³): 6.80

abc: 4.249 4.249 4.249
angles: 60.00 60.00 60.00
Positions (direct):
Nb  0.250  0.250  0.250
Nb  0.750  0.750  0.750
H  0.000  0.000  0.000
Cl  0.500  0.500  0.500

---

Entry 2:
Nb2HCl8: relaxed, PBE.

Calculated values
Total moment (μB per atom): 0.09
VASP energy (eV/f.u.): -47.269
Mass density (g/cm³): 1.85

abc: 7.498 7.498 7.986
angles: 91.89 91.89 69.84
Positions (direct):
Nb  0.206  0.206  0.295
Nb  0.794  0.794  0.705
H  0.000  0.000  0.000
Cl  0.076  0.708  0.847
Cl  0.177  0.177  0.577
Cl  0.292  0.924  0.153
Cl  0.387  0.387  0.235
Cl  0.613  0.613  0.765
Cl  0.708  0.076  0.847
Cl  0.823  0.823  0.423
Cl  0.924  0.292  0.153

---

Entry 3:
NbH2Cl6: relaxed, PBE.

Calculated values
Total moment (μB per atom): 0.11
VASP energy (eV/f.u.): -35.920
Mass density (g/cm³): 1.91

abc: 9.533 9.533 5.967
angles: 94.95 94.95 82.54
Positions (direct):
Nb  0.075  0.925  0.750
Nb  0.925  0.075  0.250
H  0.348  0.395  0.233
H  0.395  0.348  0.733
H  0.605  0.652  0.267
H  0.652  0.605  0.767
Cl  0.026  0.175  0.620
Cl  0.096  0.701  0.879
Cl  0.175  0.026  0.120
Cl  0.285  0.455  0.408
Cl  0.299  0.904  0.621
Cl  0.455  0.285  0.908
Cl  0.545  0.715  0.092
Cl  0.701  0.096  0.379
Cl  0.715  0.545  0.592
Cl  0.825  0.974  0.880
Cl  0.904  0.299  0.121
Cl  0.974  0.825  0.380

---

Entry 4:
NbH3Cl6: relaxed, PBE.

Calculated values
Total moment (μB per atom): 0.14
VASP energy (eV/f.u.): -35.442
Mass density (g/cm³): 1.88

abc: 8.167 8.167 8.167
angles: 90.44 90.44 90.44
Positions (direct):
Nb  0.000  0.000  0.000
Nb  0.500  0.500  0.500
H  0.046  0.227  0.227
H  0.227  0.046  0.227
H  0.227  0.227  0.046
H  0.773  0.773  0.954
H  0.773  0.954  0.773
H  0.954  0.773  0.773
Cl  0.055  0.055  0.315
Cl  0.055  0.315  0.055
Cl  0.303  0.303  0.598
Cl  0.303  0.598  0.303
Cl  0.315  0.055  0.055
Cl  0.402  0.697  0.697
Cl  0.598  0.303  0.303
Cl  0.685  0.945  0.945
Cl  0.697  0.402  0.697
Cl  0.697  0.697  0.402
Cl  0.945  0.685  0.945
Cl  0.945  0.945  0.685

---

Entry 5:
NbHCl3: relaxed, PBE.

Calculated values
Total moment (μB per atom): 0.56
VASP energy (eV/f.u.): -17.038
Mass density (g/cm³): 4.09

abc: 4.332 4.332 4.332
angles: 90.00 90.00 90.00
Positions (direct):
Nb  0.000  0.000  0.000
H  0.500  0.500  0.500
Cl  0.000  0.500  0.500
Cl  0.500  0.000  0.500
Cl  0.500  0.500  0.000

---

Entry 6:
NbP2HCl: relaxed, PBE.

Calculated values
Total moment (μB per atom): 0.18
VASP energy (eV/f.u.): -23.575
Mass density (g/cm³): 2.69

abc: 4.811 4.811 5.100
angles: 90.00 90.00 90.00
Positions (direct):
Nb  0.000  0.000  0.000
P  0.000  0.500  0.000
P  0.500  0.000  0.000
H  0.500  0.500  0.500
Cl  0.000  0.000  0.500

---

Repeat the third record exactly.
NbH2Cl6: relaxed, PBE.

Calculated values
Total moment (μB per atom): 0.11
VASP energy (eV/f.u.): -35.920
Mass density (g/cm³): 1.91

abc: 9.533 9.533 5.967
angles: 94.95 94.95 82.54
Positions (direct):
Nb  0.075  0.925  0.750
Nb  0.925  0.075  0.250
H  0.348  0.395  0.233
H  0.395  0.348  0.733
H  0.605  0.652  0.267
H  0.652  0.605  0.767
Cl  0.026  0.175  0.620
Cl  0.096  0.701  0.879
Cl  0.175  0.026  0.120
Cl  0.285  0.455  0.408
Cl  0.299  0.904  0.621
Cl  0.455  0.285  0.908
Cl  0.545  0.715  0.092
Cl  0.701  0.096  0.379
Cl  0.715  0.545  0.592
Cl  0.825  0.974  0.880
Cl  0.904  0.299  0.121
Cl  0.974  0.825  0.380